Computed, not measured: a relaxed structure of CaTb2Sm9 at the PBE-GGA level of DFT.

Lattice parameters (Å, degrees): 5.1369 5.1369 15.4143 90.00 90.00 90.00
Element x y z (fractional)
Ca1 0.0000 0.0000 0.0000
Tb1 0.0000 0.0000 0.3341
Tb2 0.0000 0.0000 0.6659
Sm1 0.5000 0.5000 0.0000
Sm2 0.5000 0.5000 0.3342
Sm3 0.5000 0.5000 0.6658
Sm4 0.5000 0.0000 0.1726
Sm5 0.5000 0.0000 0.5000
Sm6 0.5000 0.0000 0.8274
Sm7 0.0000 0.5000 0.1726
Sm8 0.0000 0.5000 0.5000
Sm9 0.0000 0.5000 0.8274

crystal system	tetragonal
magnetic moment	0.00	Bohr magnetons per cell
calculated formation energy	39	meV/atom
space group	P4/mmm (123)
mass density	7.0	g/cm3